Crystalline Sm2InPb at its relaxed geometry, computed with PBE.

Cell lengths 6.326, 4.419, 9.159 Å; angles 90.00, 108.13, 90.00 degrees
Space group P2_1/m (No. 11)
One atom of each set of equivalent atoms:
Sm: 0.201 0.250 0.432 (multiplicity 2)
Sm: 0.294 0.750 0.068 (multiplicity 2)
In: 0.117 0.250 0.795 (multiplicity 2)
Pb: 0.384 0.750 0.705 (multiplicity 2)

- E_tot: -4.486 eV/atom
- Spin magnetization: 0.000 μB/cell
- Mass density: 8.5 g/cm³
- Formation enthalpy at 0 K: -0.515 eV per atom